! Dy4Cu2N (GGA-PBE, optimized geometry); values from VASP
&SYSTEM
  ibrav = 0, nat = 14, ntyp = 3
/
ATOMIC_SPECIES
Dy 162.50 Dy.upf
Cu 63.55 Cu.upf
N 14.01 N.upf
CELL_PARAMETERS angstrom
4.744 0.000 0.000
0.000 4.744 0.000
0.000 0.000 13.642
ATOMIC_POSITIONS angstrom
Dy 0.000 0.000 2.451
Dy 0.000 0.000 11.191
Dy 0.000 2.372 0.000
Dy 0.000 2.372 6.821
Dy 2.372 0.000 0.000
Dy 2.372 0.000 6.821
Dy 2.372 2.372 4.370
Dy 2.372 2.372 9.273
Cu 0.000 0.000 5.174
Cu 0.000 0.000 8.469
Cu 2.372 2.372 1.648
Cu 2.372 2.372 11.995
N 0.000 0.000 0.000
N 2.372 2.372 6.821
! energy: -76.92 eV/cell
! uncorrected formation energy: -341 kJ/mol of formula units
! SG: I4/mmm

***

! Re2TcCl (GGA-PBE, optimized geometry); values from VASP
&SYSTEM
  ibrav = 0, nat = 16, ntyp = 3
/
ATOMIC_SPECIES
Re 186.21 Re.upf
Tc 98.00 Tc.upf
Cl 35.45 Cl.upf
CELL_PARAMETERS angstrom
6.237 0.000 0.000
0.000 6.237 0.000
0.000 0.000 6.237
ATOMIC_POSITIONS angstrom
Re 0.000 0.000 0.000
Re 0.000 3.118 3.118
Re 1.559 1.559 1.559
Re 1.559 4.678 4.678
Re 3.118 0.000 3.118
Re 3.118 3.118 0.000
Re 4.678 1.559 4.678
Re 4.678 4.678 1.559
Tc 1.559 1.559 4.678
Tc 1.559 4.678 1.559
Tc 4.678 1.559 1.559
Tc 4.678 4.678 4.678
Cl 0.000 0.000 3.118
Cl 0.000 3.118 0.000
Cl 3.118 0.000 0.000
Cl 3.118 3.118 3.118
! energy: -132.24 eV/cell
! uncorrected formation energy: 391 kJ/mol of formula units
! SG: F-43m
! polymorph energy (0 for the lowest one): 0.683 eV per atom

***

! SrGe2Au3 (GGA-PBE, optimized geometry); values from VASP
&SYSTEM
  ibrav = 0, nat = 12, ntyp = 3
/
ATOMIC_SPECIES
Sr 87.62 Sr.upf
Ge 72.64 Ge.upf
Au 196.97 Au.upf
CELL_PARAMETERS angstrom
8.444 -2.271 0.000
8.444 2.271 0.000
-3.225 0.000 6.880
ATOMIC_POSITIONS angstrom
Sr 2.313 0.000 0.549
Sr 11.349 0.000 6.331
Ge 0.979 0.000 4.653
Ge 5.580 0.000 5.651
Ge 8.082 0.000 1.229
Ge 12.683 0.000 2.228
Au -0.493 0.000 2.466
Au 3.464 0.000 4.024
Au 5.551 0.000 1.865
Au 8.111 0.000 5.015
Au 10.198 0.000 2.856
Au 14.155 0.000 4.414
! energy: -46.17 eV/cell
! SG: C2/m
! energy of formation: -0.389 eV/atom

***

! PmAlSn2Pd4 (GGA-PBE, optimized geometry); values from VASP
&SYSTEM
  ibrav = 0, nat = 8, ntyp = 4
/
ATOMIC_SPECIES
Pm 145.00 Pm.upf
Al 26.98 Al.upf
Sn 118.71 Sn.upf
Pd 106.42 Pd.upf
CELL_PARAMETERS angstrom
2.278 1.315 8.530
-2.278 1.315 8.530
0.000 -2.631 8.530
ATOMIC_POSITIONS angstrom
Pm 0.000 0.000 0.000
Al 0.000 0.000 12.796
Sn 0.000 0.000 6.357
Sn 0.000 0.000 19.234
Pd 0.000 0.000 3.536
Pd 0.000 0.000 10.293
Pd 0.000 0.000 15.298
Pd 0.000 0.000 22.055
! energy: -43.15 eV/cell
! SG: R-3m
! energy of formation: -0.735 eV/atom

***

no.,calculated density (g/cm3)
1,8.6
2,13.8
3,10.4
4,9.0